The following is a DFT calculation (PBE) of crystalline LaNd5Sm2Th at its relaxed geometry.

a b c (Å): 10.6472 10.6472 10.6803
angles (deg): 90.00 90.00 148.44
With the nearest neighbours (Å) after each atom.
Atoms (fractional coordinates):
La  0.0868  0.9132  0.5000  5 Nd 3.12-3.40
La  0.9132  0.0868  0.0000  5 Nd 3.12-3.40
Nd  0.0208  0.9792  0.7921  2 La 3.13-3.40
Nd  0.1141  0.8859  0.0779  6 Nd 3.59-3.94, 4 Sm 3.63-3.64, 1 Th 3.82
Nd  0.2066  0.7934  0.7561  3 Nd 3.45-3.83, 3 Th 3.54-3.83, 3 Sm 3.66-3.68, 1 La 3.67
Nd  0.2231  0.7769  0.3694  1 La 3.12, 1 Sm 3.30, 2 Nd 3.45
Nd  0.4840  0.5160  0.0766  2 La 3.34, 3 Sm 3.47-3.72, 2 Nd 3.70
Nd  0.5160  0.4840  0.5766  2 La 3.34, 3 Sm 3.47-3.72, 2 Nd 3.70
Nd  0.7769  0.2231  0.8694  1 La 3.12, 1 Sm 3.30, 2 Nd 3.45
Nd  0.7934  0.2066  0.2561  3 Nd 3.45-3.83, 3 Th 3.54-3.83, 3 Sm 3.66-3.68, 1 La 3.67
Nd  0.8859  0.1141  0.5779  6 Nd 3.59-3.94, 4 Sm 3.63-3.64, 1 Th 3.82
Nd  0.9792  0.0208  0.2921  2 La 3.13-3.40
Sm  0.3843  0.6157  0.3723  8 Nd 3.30-3.66, 1 Th 3.70
Sm  0.3853  0.6147  0.7842  1 Th 3.47, 7 Nd 3.48-3.76, 2 La 3.74
Sm  0.6147  0.3853  0.2842  1 Th 3.47, 7 Nd 3.48-3.76, 2 La 3.74
Sm  0.6157  0.3843  0.8723  8 Nd 3.30-3.66, 1 Th 3.70
Th  0.3005  0.6995  0.0655  2 Sm 3.47-3.70, 8 Nd 3.54-3.83, 2 La 3.77
Th  0.6995  0.3005  0.5655  2 Sm 3.47-3.70, 8 Nd 3.54-3.83, 2 La 3.77

Calculated values
The formation energy from the elements comes out at 0.153 eV per atom. The magnetic moment is 0.0 μB/cell.